# NaGe2Pd2

Crystalline NaGe2Pd2 at its relaxed geometry (PBE, Alexandria).

Structure (POSCAR):
```
NaGe2Pd2
1.0
4.3014 0.0000 0.0000
0.0000 4.3014 0.0000
0.0000 0.0000 10.7245
Na Ge Pd
2 4 4
Direct
0.0000 0.0000 0.0000
0.5000 0.5000 0.5000
0.0000 0.5000 0.2500
0.0000 0.5000 0.7500
0.5000 0.0000 0.2500
0.5000 0.0000 0.7500
0.0000 0.0000 0.3732
0.0000 0.0000 0.6268
0.5000 0.5000 0.1268
0.5000 0.5000 0.8732
```

Computed properties:
- electronic total energy (eV per atom) = -4.46
- calculated formation energy (eV/atom) = -0.270
- distance to the lowest polymorph of the same formula (kJ/mol of formula units) = 76
- crystal system = tetragonal
- symmetry = No. 139